DFT (PBE+U) results for MnInSeF2 after structural relaxation.

Raw total energy in eV per cell: -25.6

abc: 4.1244 4.1244 5.7397
angles: 90.00 90.00 90.00
Space group P4/mmm (No. 123)
Unique sites:
Mn: 0.0000 0.0000 0.0000 x1
In: 0.5000 0.5000 0.5000 x1
Se: 0.0000 0.0000 0.5000 x1
F: 0.0000 0.5000 0.0000 x2